(1)
A plane-wave DFT calculation with PBE was carried out for a geometry-optimized MgCd2As structure.

```
MgCd2As
1.0
-1.3737 3.8639 0.5939
0.3883 -0.4921 4.1001
4.6786 1.7001 -0.2391
Cd As Mg
2 1 1
direct
0.5000 0.5000 0.0000
0.0000 0.0000 0.0000
0.0000 0.5000 0.5000
0.5000 0.0000 0.5000
```

SG ... No. 123



(2)
A plane-wave DFT calculation with PBE was carried out for a geometry-optimized MgNbCdAs2 structure.

```
MgNbCdAs2
1.0
-3.3902 -3.5411 -0.9146
3.3032 -2.2016 -3.7200
2.0512 -2.8735 3.5220
Nb Mg As Cd
1 1 2 1
direct
0.0000 0.0000 0.0000
0.5000 0.5000 0.5000
0.5000 0.0000 0.0000
0.0000 0.0000 0.5000
0.0000 0.5000 0.0000
```

SG ... No. 123



Number 1: E_form -0.077 eV/atom, spin magnetization 0.0 μB/f.u.. Number 2: E_form 0.280 eV/atom, spin magnetization 0.0 μB/f.u..